# 1
Crystalline V3SeS3 at its relaxed geometry. Source: Alexandria via LeMat-Bulk, functional PBE.

a b c (Å): 8.9977 8.9977 4.5366
angles (deg): 90.00 90.00 120.00
Space group R3m (No. 160, hexagonal axes)
One atom of each set of equivalent atoms:
1 V 0.1869 0.3737 0.0000 (multiplicity 9)
2 Se 0.0000 0.0000 0.0381 (multiplicity 3)
3 S 0.0721 0.5360 0.1760 (multiplicity 9)

raw total energy	-140.79	eV for the cell shown
raw formation energy	-0.529	eV/atom
density of states at the Fermi level	5.87	states/eV/f.u.

# 2
Crystalline V2Se3S at its relaxed geometry. Source: Alexandria via LeMat-Bulk, functional PBE.

a b c (Å): 3.2996 3.2996 27.0108
angles (deg): 90.00 90.00 120.00
Space group P3m1 (No. 156)
One atom of each set of equivalent atoms:
1 V 0.0000 0.0000 0.0000 (multiplicity 1)
2 V 0.0000 0.0000 0.4906 (multiplicity 1)
3 V 0.6667 0.3333 0.2447 (multiplicity 1)
4 V 0.6667 0.3333 0.7462 (multiplicity 1)
5 Se 0.0000 0.0000 0.6865 (multiplicity 1)
6 Se 0.0000 0.0000 0.8058 (multiplicity 1)
7 Se 0.6667 0.3333 0.0596 (multiplicity 1)
8 Se 0.6667 0.3333 0.4309 (multiplicity 1)
9 Se 0.6667 0.3333 0.5503 (multiplicity 1)
10 Se 0.6667 0.3333 0.9403 (multiplicity 1)
11 S 0.0000 0.0000 0.1908 (multiplicity 1)
12 S 0.0000 0.0000 0.2988 (multiplicity 1)

raw total energy	-74.52	eV for the cell shown
raw formation energy	-0.740	eV/atom
density of states at the Fermi level	1.57	states/eV/f.u.

# 3
Crystalline V2SeS at its relaxed geometry. Source: Alexandria via LeMat-Bulk, functional PBE.

a b c (Å): 6.0680 6.0680 6.0680
angles (deg): 90.00 90.00 90.00
Space group Fm-3m (No. 225)
One atom of each set of equivalent atoms:
1 V 0.2500 0.2500 0.2500 (multiplicity 8)
2 Se 0.0000 0.0000 0.0000 (multiplicity 4)
3 S 0.0000 0.0000 0.5000 (multiplicity 4)

ΔE to the lowest computed polymorph	330	meV/atom
raw total energy	-109.04	eV for the cell shown
raw formation energy	-0.352	eV/atom
density of states at the Fermi level	3.30	states/eV/f.u.

# 4
Crystalline V2SeS at its relaxed geometry. Source: Alexandria via LeMat-Bulk, functional PBE.

a b c (Å): 3.1669 3.2278 5.6640
angles (deg): 90.00 90.00 90.00
Space group Pmm2 (No. 25)
One atom of each set of equivalent atoms:
1 V 0.0000 0.0000 0.0000 (multiplicity 1)
2 V 0.0000 0.5000 0.4490 (multiplicity 1)
3 Se 0.5000 0.0000 0.6436 (multiplicity 1)
4 S 0.5000 0.5000 0.1403 (multiplicity 1)

ΔE to the lowest computed polymorph	0	meV/atom
raw total energy	-28.58	eV for the cell shown
raw formation energy	-0.682	eV/atom
density of states at the Fermi level	3.66	states/eV/f.u.

# 5
Crystalline V3SeS at its relaxed geometry. Source: Alexandria via LeMat-Bulk, functional PBE.

a b c (Å): 4.3258 4.3258 4.3258
angles (deg): 90.00 90.00 90.00
Space group Pm-3m (No. 221)
One atom of each set of equivalent atoms:
1 V 0.0000 0.0000 0.5000 (multiplicity 3)
2 Se 0.5000 0.5000 0.5000 (multiplicity 1)
3 S 0.0000 0.0000 0.0000 (multiplicity 1)

ΔE to the lowest computed polymorph	0	meV/atom
raw total energy	-34.11	eV for the cell shown
raw formation energy	0.171	eV/atom
density of states at the Fermi level	6.86	states/eV/f.u.

# 6
Crystalline V2SeS at its relaxed geometry. Source: Alexandria via LeMat-Bulk, functional PBE.

a b c (Å): 3.2919 3.2919 18.9016
angles (deg): 90.00 90.00 120.00
Space group R3m (No. 160, hexagonal axes)
One atom of each set of equivalent atoms:
1 V 0.0000 0.0000 0.0000 (multiplicity 3)
2 V 0.0000 0.0000 0.1733 (multiplicity 3)
3 Se 0.0000 0.0000 0.7518 (multiplicity 3)
4 S 0.0000 0.0000 0.5850 (multiplicity 3)

ΔE to the lowest computed polymorph	203	meV/atom
raw total energy	-83.30	eV for the cell shown
raw formation energy	-0.479	eV/atom
density of states at the Fermi level	4.01	states/eV/f.u.

# 7
Crystalline V2SeS at its relaxed geometry. Source: Alexandria via LeMat-Bulk, functional PBE.

a b c (Å): 3.5960 3.5960 17.0434
angles (deg): 90.00 90.00 120.00
Space group R-3m (No. 166, hexagonal axes)
One atom of each set of equivalent atoms:
1 V 0.0000 0.0000 0.2280 (multiplicity 6)
2 Se 0.0000 0.0000 0.0000 (multiplicity 3)
3 S 0.0000 0.0000 0.5000 (multiplicity 3)

ΔE to the lowest computed polymorph	162	meV/atom
raw total energy	-83.79	eV for the cell shown
raw formation energy	-0.521	eV/atom
density of states at the Fermi level	4.62	states/eV/f.u.

# 8
Crystalline V4Se5S at its relaxed geometry. Source: Alexandria via LeMat-Bulk, functional PBE.

a b c (Å): 15.1783 3.3317 7.5379
angles (deg): 90.00 100.66 90.00
Space group C2/m (No. 12)
One atom of each set of equivalent atoms:
1 V 0.0085 0.0000 0.2491 (multiplicity 4)
2 V 0.1480 0.5000 0.1043 (multiplicity 4)
3 Se 0.0000 0.5000 0.5000 (multiplicity 2)
4 Se 0.1715 0.0000 0.8624 (multiplicity 4)
5 Se 0.1737 0.0000 0.3468 (multiplicity 4)
6 S 0.0000 0.5000 0.0000 (multiplicity 2)

raw total energy	-128.24	eV for the cell shown
raw formation energy	-0.609	eV/atom
density of states at the Fermi level	6.99	states/eV/f.u.

# 9
Crystalline VSeS4 at its relaxed geometry. Source: Alexandria via LeMat-Bulk, functional PBE.

a b c (Å): 8.6456 8.4325 7.4366
angles (deg): 90.00 120.01 90.00
Space group C2/m (No. 12)
One atom of each set of equivalent atoms:
1 V 0.2500 0.2500 0.0000 (multiplicity 4)
2 Se 0.2387 0.0000 0.5220 (multiplicity 4)
3 S 0.0000 0.3408 0.0000 (multiplicity 4)
4 S 0.1401 0.2209 0.6213 (multiplicity 8)
5 S 0.1615 0.0000 0.0180 (multiplicity 4)

raw total energy	-119.95	eV for the cell shown
raw formation energy	-0.146	eV/atom
density of states at the Fermi level	2.89	states/eV/f.u.

# 10
Crystalline V4SeS2 at its relaxed geometry. Source: Alexandria via LeMat-Bulk, functional PBE.

a b c (Å): 4.5474 4.5474 12.4293
angles (deg): 90.00 90.00 90.00
Space group I4/mmm (No. 139)
One atom of each set of equivalent atoms:
1 V 0.0000 0.0000 0.2025 (multiplicity 4)
2 V 0.0000 0.5000 0.0000 (multiplicity 4)
3 Se 0.0000 0.0000 0.0000 (multiplicity 2)
4 S 0.0000 0.0000 0.3864 (multiplicity 4)

raw total energy	-92.92	eV for the cell shown
raw formation energy	0.251	eV/atom
density of states at the Fermi level	6.85	states/eV/f.u.

# 11
Crystalline VSe2S at its relaxed geometry. Source: Alexandria via LeMat-Bulk, functional PBE.

a b c (Å): 3.4205 3.4205 23.7189
angles (deg): 90.00 90.00 120.00
Space group R-3m (No. 166, hexagonal axes)
One atom of each set of equivalent atoms:
1 V 0.0000 0.0000 0.0000 (multiplicity 3)
2 Se 0.0000 0.0000 0.3982 (multiplicity 6)
3 S 0.0000 0.0000 0.5000 (multiplicity 3)

raw total energy	-62.43	eV for the cell shown
raw formation energy	-0.149	eV/atom
density of states at the Fermi level	3.88	states/eV/f.u.

# 12
Crystalline V3SeS5 at its relaxed geometry. Source: Alexandria via LeMat-Bulk, functional PBE.

a b c (Å): 10.5033 8.0825 8.9010
angles (deg): 90.00 120.87 90.00
Space group C2/m (No. 12)
One atom of each set of equivalent atoms:
1 V 0.0000 0.0000 0.0000 (multiplicity 2)
2 V 0.0000 0.0000 0.5000 (multiplicity 2)
3 V 0.1531 0.5000 0.1616 (multiplicity 4)
4 V 0.1666 0.5000 0.6627 (multiplicity 4)
5 Se 0.1012 0.0000 0.8077 (multiplicity 4)
6 S 0.0000 0.2958 0.5000 (multiplicity 4)
7 S 0.0713 0.5000 0.8644 (multiplicity 4)
8 S 0.1660 0.2037 0.1702 (multiplicity 8)
9 S 0.2355 0.0000 0.5341 (multiplicity 4)

raw total energy	-230.60	eV for the cell shown
raw formation energy	-0.686	eV/atom
density of states at the Fermi level	7.09	states/eV/f.u.

# 13
Crystalline V5Se2S5 at its relaxed geometry. Source: Alexandria via LeMat-Bulk, functional PBE.

a b c (Å): 11.3376 3.2534 10.8873
angles (deg): 90.00 104.72 90.00
Space group C2/m (No. 12)
One atom of each set of equivalent atoms:
1 V 0.0000 0.0000 0.0000 (multiplicity 2)
2 V 0.1385 0.0000 0.4457 (multiplicity 4)
3 V 0.2145 0.5000 0.8279 (multiplicity 4)
4 Se 0.0342 0.0000 0.7777 (multiplicity 4)
5 S 0.0000 0.5000 0.5000 (multiplicity 2)
6 S 0.1567 0.5000 0.0336 (multiplicity 4)
7 S 0.2396 0.5000 0.3498 (multiplicity 4)

raw total energy	-163.06	eV for the cell shown
raw formation energy	-0.694	eV/atom
density of states at the Fermi level	7.79	states/eV/f.u.

# 14
Crystalline V3SeS2 at its relaxed geometry. Source: Alexandria via LeMat-Bulk, functional PBE.

a b c (Å): 9.8722 8.5020 4.5437
angles (deg): 90.00 90.00 90.00
Space group Cmcm (No. 63)
One atom of each set of equivalent atoms:
1 V 0.0000 0.2114 0.2500 (multiplicity 4)
2 V 0.1740 0.3077 0.7500 (multiplicity 8)
3 Se 0.0000 0.1055 0.7500 (multiplicity 4)
4 S 0.1691 0.3941 0.2500 (multiplicity 8)

raw total energy	-170.89	eV for the cell shown
raw formation energy	-0.605	eV/atom
density of states at the Fermi level	6.48	states/eV/f.u.

# 15
Crystalline V3Se2S2 at its relaxed geometry. Source: Alexandria via LeMat-Bulk, functional PBE.

a b c (Å): 13.1452 3.3492 6.0538
angles (deg): 90.00 117.22 90.00
Space group C2/m (No. 12)
One atom of each set of equivalent atoms:
1 V 0.0000 0.0000 0.0000 (multiplicity 2)
2 V 0.2417 0.5000 0.6695 (multiplicity 4)
3 Se 0.1394 0.5000 0.9694 (multiplicity 4)
4 S 0.1131 0.0000 0.4436 (multiplicity 4)

ΔE to the lowest computed polymorph	0	meV/atom
raw total energy	-97.61	eV for the cell shown
raw formation energy	-0.889	eV/atom
density of states at the Fermi level	2.93	states/eV/f.u.

# 16
Crystalline V3Se2S2 at its relaxed geometry. Source: Alexandria via LeMat-Bulk, functional PBE.

a b c (Å): 11.8828 3.3819 6.0457
angles (deg): 90.00 100.81 90.00
Space group C2/m (No. 12)
One atom of each set of equivalent atoms:
1 V 0.0000 0.0000 0.0000 (multiplicity 2)
2 V 0.2467 0.0000 0.8146 (multiplicity 4)
3 Se 0.1405 0.0000 0.3702 (multiplicity 4)
4 S 0.1135 0.5000 0.8524 (multiplicity 4)

ΔE to the lowest computed polymorph	148	meV/atom
raw total energy	-95.54	eV for the cell shown
raw formation energy	-0.742	eV/atom
density of states at the Fermi level	5.71	states/eV/f.u.

# 17
Crystalline VSe2S at its relaxed geometry. Source: Alexandria via LeMat-Bulk, functional PBE.

a b c (Å): 3.4689 5.7649 10.2846
angles (deg): 82.88 89.59 89.99
Space group P1 (No. 1)
One atom of each set of equivalent atoms:
1 V 0.0000 0.0000 0.0000 (multiplicity 1)
2 V 0.4999 0.4997 0.0017 (multiplicity 1)
3 Se 0.0033 0.3706 0.8483 (multiplicity 1)
4 Se 0.4966 0.1291 0.1534 (multiplicity 1)
5 Se 0.5032 0.8691 0.8476 (multiplicity 1)
6 Se 0.9967 0.6308 0.1542 (multiplicity 1)
7 S 0.5164 0.3374 0.5217 (multiplicity 1)
8 S 0.9831 0.1649 0.4801 (multiplicity 1)

raw total energy	-43.85	eV for the cell shown
raw formation energy	-0.428	eV/atom
density of states at the Fermi level	1.05	states/eV/f.u.

# 18
Crystalline V3Se4S2 at its relaxed geometry. Source: Alexandria via LeMat-Bulk, functional PBE.

a b c (Å): 3.2856 3.2856 20.8386
angles (deg): 90.00 90.00 120.00
Space group P-6m2 (No. 187)
One atom of each set of equivalent atoms:
1 V 0.0000 0.0000 0.0000 (multiplicity 1)
2 V 0.3333 0.6667 0.3191 (multiplicity 2)
3 Se 0.0000 0.0000 0.2417 (multiplicity 2)
4 Se 0.0000 0.0000 0.3967 (multiplicity 2)
5 S 0.3333 0.6667 0.0701 (multiplicity 2)

raw total energy	-56.31	eV for the cell shown
raw formation energy	-0.752	eV/atom
density of states at the Fermi level	2.64	states/eV/f.u.

# 19
Crystalline V2Se3S6 at its relaxed geometry. Source: Alexandria via LeMat-Bulk, functional PBE.

a b c (Å): 10.5918 5.8459 17.9763
angles (deg): 90.00 105.76 90.00
Space group C2/c (No. 15)
One atom of each set of equivalent atoms:
1 V 0.0516 0.2437 0.4929 (multiplicity 8)
2 Se 0.0000 0.1399 0.2500 (multiplicity 4)
3 Se 0.1809 0.3786 0.3050 (multiplicity 8)
4 S 0.0426 0.0757 0.9223 (multiplicity 8)
5 S 0.1066 0.4401 0.0820 (multiplicity 8)
6 S 0.2166 0.3941 0.4341 (multiplicity 8)

raw total energy	-228.68	eV for the cell shown
raw formation energy	-0.338	eV/atom
density of states at the Fermi level	1.79	states/eV/f.u.

# 20
Crystalline VW2Se2S4 at its relaxed geometry. Source: Alexandria via LeMat-Bulk, functional PBE.

a b c (Å): 3.2284 3.2284 21.3787
angles (deg): 90.00 90.00 120.00
Space group P3m1 (No. 156)
One atom of each set of equivalent atoms:
1 V 0.0000 0.0000 0.0000 (multiplicity 1)
2 W 0.0000 0.0000 0.6497 (multiplicity 1)
3 W 0.6667 0.3333 0.3255 (multiplicity 1)
4 Se 0.6667 0.3333 0.0763 (multiplicity 1)
5 Se 0.6667 0.3333 0.9236 (multiplicity 1)
6 S 0.0000 0.0000 0.2526 (multiplicity 1)
7 S 0.0000 0.0000 0.3985 (multiplicity 1)
8 S 0.6667 0.3333 0.5768 (multiplicity 1)
9 S 0.6667 0.3333 0.7226 (multiplicity 1)

raw total energy	-65.46	eV for the cell shown
raw formation energy	-0.773	eV/atom
density of states at the Fermi level	1.52	states/eV/f.u.